1.
4
Lattice="-4.4370 1.0517 -0.6554 -0.5293 -3.8114 -2.5329 1.2660 -1.1884 5.7130" Properties=species:S:1:pos:R:3 comment="LaHgSb2 (PBEsol, relaxed)" formation_energy_uncorrected_kcal_per_mol_atoms=-15.34 sg="No. 139" mass_density_g_cm3=9.1 pbc="T T T"
Sb -2.8271 -0.7583 1.7317
Sb -0.8732 -3.1898 0.7929
Hg -2.4831 -1.3798 -1.5942
La 0.0000 0.0000 0.0000

***

2.
4
Lattice="3.3132 0.0000 0.0063 0.0000 5.5516 0.0000 -0.0066 0.0000 5.9039" Properties=species:S:1:pos:R:3 comment="LaHgSb2 (PBEsol, relaxed)" formation_energy_uncorrected_kcal_per_mol_atoms=-11.43 sg="No. 6" mass_density_g_cm3=8.9 pbc="T T T"
Hg 2.4589 0.0000 3.1503
La 0.8389 2.7758 1.2580
Sb 2.4954 0.0000 0.2824
Sb 2.4800 2.7758 4.1808

***

3.
4
Lattice="-0.9493 2.8551 3.5562 2.2463 -2.9374 2.9580 4.0555 2.3177 -0.7782" Properties=species:S:1:pos:R:3 comment="LaHgSb2 (PBEsol, relaxed)" formation_energy_uncorrected_kcal_per_mol_atoms=-15.58 sg="No. 123" mass_density_g_cm3=9.3 pbc="T T T"
Sb 2.0278 1.1588 -0.3891
Sb 1.1231 -1.4687 1.4790
Hg 2.6762 1.1177 2.8680
La -0.4747 1.4276 1.7781

***

4.
4
Lattice="-1.4026 -3.1591 -0.9773 1.1969 0.5046 -3.3489 7.2297 -3.8308 2.0066" Properties=species:S:1:pos:R:3 comment="La2ScHg (PBEsol, relaxed)" sg="No. 99" formation_energy_ev_per_atom=-0.258 mass_density_g_cm3=8.0 pbc="T T T"
Sc 3.8838 -2.0579 1.0780
Hg 5.0719 -4.0692 -0.7268
La 7.0569 -3.7392 1.9587
La 1.8560 -2.3652 -1.6194

***

5.
5
Lattice="5.2856 0.0000 0.0000 0.0000 5.2856 0.0000 0.0000 0.0000 5.2856" Properties=species:S:1:pos:R:3 comment="LaSc3Hg (PBEsol, relaxed)" sg="No. 221" formation_energy_ev_per_atom=0.186 mass_density_g_cm3=5.3 pbc="T T T"
Sc 0.0000 2.6428 0.0000
Sc 0.0000 0.0000 2.6428
Sc 2.6428 0.0000 0.0000
Hg 0.0000 0.0000 0.0000
La 2.6428 2.6428 2.6428

***

6.
4
Lattice="3.5282 0.0000 0.0000 0.0000 3.5282 0.0000 0.0000 0.0000 7.7159" Properties=species:S:1:pos:R:3 comment="LaScHg2 (PBEsol, relaxed)" sg="No. 123" formation_energy_ev_per_atom=-0.540 mass_density_g_cm3=10.1 de_polymorph_mev_per_atom=0 pbc="T T T"
Sc 1.7641 1.7641 3.8580
Hg 0.0000 0.0000 5.4857
Hg 0.0000 0.0000 2.2303
La 1.7641 1.7641 0.0000

***

7.
4
Lattice="-3.3878 0.6002 0.9516 -1.5255 -3.6099 -3.1539 2.2367 -4.5708 4.1499" Properties=species:S:1:pos:R:3 comment="La2ScHg (PBEsol, relaxed)" sg="No. 38" formation_energy_ev_per_atom=-0.222 mass_density_g_cm3=7.7 pbc="T T T"
Sc -1.4850 -1.3436 2.2561
Hg -2.3893 -2.0346 -0.5273
La -1.1875 -3.6839 4.7910
La -0.4522 -4.2484 1.0696

***

8.
3
Lattice="-3.0559 -1.1160 1.3158 -0.8321 -1.3912 -3.1125 4.6686 -4.1948 2.6052" Properties=species:S:1:pos:R:3 comment="LaScHg (PBEsol, relaxed)" sg="No. 107" formation_energy_ev_per_atom=-0.327 mass_density_g_cm3=8.2 de_polymorph_mev_per_atom=68 pbc="T T T"
Sc 1.9440 -3.8874 1.2178
Hg 0.6726 -6.4861 0.7409
La -1.0555 -3.0303 -0.3417

***

9.
3
Lattice="-1.1524 0.9529 4.6149 2.7094 -1.8015 3.5982 2.8011 2.9530 2.6394" Properties=species:S:1:pos:R:3 comment="LaScHg (PBEsol, relaxed)" sg="No. 216" formation_energy_ev_per_atom=0.105 mass_density_g_cm3=7.9 de_polymorph_mev_per_atom=500 pbc="T T T"
Hg 0.0000 0.0000 0.0000
La 2.1791 1.0522 5.4263
Sc 1.0895 0.5261 2.7131

***

10.
4
Lattice="3.6328 0.0000 0.0000 0.0000 5.5601 0.0904 0.0000 -0.1261 5.5594" Properties=species:S:1:pos:R:3 comment="La2ScHg (PBEsol, relaxed)" sg="No. 65" formation_energy_ev_per_atom=-0.213 mass_density_g_cm3=7.7 pbc="T T T"
Sc 1.8164 0.0000 0.0000
Hg 1.8164 2.7170 2.8249
La 0.0000 2.7801 0.0452
La 0.0000 -0.0630 2.7797

***

11.
4
Lattice="-2.0576 0.9155 -2.8142 0.7306 -4.6341 -2.0417 -3.6449 0.0513 4.9899" Properties=species:S:1:pos:R:3 comment="LaScHg2 (PBEsol, relaxed)" sg="No. 44" formation_energy_ev_per_atom=-0.351 mass_density_g_cm3=9.9 de_polymorph_mev_per_atom=189 pbc="T T T"
Hg -0.0687 -0.0288 0.0408
Hg -3.0274 -0.3809 -0.2187
La -4.2517 -1.7842 2.5282
Sc -1.9325 -3.2813 0.3455

***

12.
10
Lattice="-2.6118 2.4430 1.7993 -4.4630 -6.6419 2.5398 4.5351 -0.3489 7.0566" Properties=species:S:1:pos:R:3 comment="La2ScHg2 (PBEsol, relaxed)" sg="No. 127" formation_energy_ev_per_atom=-0.363 mass_density_g_cm3=8.5 pbc="T T T"
Sc 0.0000 0.0000 0.0000
Sc 0.0360 -3.4954 4.7982
Hg 2.2943 -2.7656 7.0852
Hg -1.0315 -6.0024 6.6523
Hg -2.2222 -4.2252 2.5112
Hg 1.1036 -0.9885 2.9440
La 0.9740 -0.1495 6.0705
La -0.5424 -3.5255 8.4531
La -3.5137 -4.3983 5.3252
La -1.9973 -1.0223 2.9427

***

13.
3
Lattice="-1.4381 2.3705 -2.1193 -0.4519 -3.4032 -0.6266 -6.2369 0.0406 4.2775" Properties=species:S:1:pos:R:3 comment="LaScHg (PBEsol, relaxed)" sg="No. 156" formation_energy_ev_per_atom=-0.168 mass_density_g_cm3=8.0 de_polymorph_mev_per_atom=227 pbc="T T T"
Hg -0.1315 0.0009 0.0902
La -4.9744 -1.4514 1.7521
Sc -3.0209 0.4583 -0.3108

***

14.
6
Lattice="-2.6347 5.7999 -0.3559 -4.2601 1.8427 4.3775 1.5504 4.4759 4.2743" Properties=species:S:1:pos:R:3 comment="La4ScHg (PBEsol, relaxed)" sg="No. 216" formation_energy_ev_per_atom=0.274 mass_density_g_cm3=7.2 pbc="T T T"
Hg 0.0000 0.0000 0.0000
La -2.0012 4.5376 3.1063
La -1.2225 6.7856 5.2531
La -3.3245 7.4506 2.9275
La -4.1409 5.4631 5.3049
Sc -4.0084 9.0888 6.2219

***

15.
6
Lattice="-1.0165 4.5618 0.4548 -3.8827 -0.6090 -2.5698 -3.8417 -1.4694 6.1528" Properties=species:S:1:pos:R:3 comment="LaScHg (PBEsol, relaxed)" sg="No. 129" formation_energy_ev_per_atom=-0.395 mass_density_g_cm3=7.8 de_polymorph_mev_per_atom=0 pbc="T T T"
Sc -1.9209 -0.7347 3.0764
Sc -4.3705 1.2417 2.0189
Hg -4.7140 -1.3650 3.1556
Hg -1.5774 1.8720 1.9397
La -2.4558 -0.5012 -0.4611
La -3.8356 1.0083 5.5563

***

16.
4
Lattice="-3.5838 0.6003 0.4432 -0.9777 -2.1575 -4.9835 1.7076 -4.2564 4.4554" Properties=species:S:1:pos:R:3 comment="La2ScHg (PBEsol, relaxed)" sg="No. 8" formation_energy_ev_per_atom=-0.259 mass_density_g_cm3=7.8 pbc="T T T"
Sc -2.3199 -1.0905 -2.1641
Hg -0.7480 -3.4016 -1.4409
La -2.8408 -5.6523 -0.1979
La -2.0798 -2.2614 1.3629

***

17.
4
Lattice="3.4514 0.0000 0.0281 0.0000 5.1480 0.0000 -0.0445 0.0000 5.4825" Properties=species:S:1:pos:R:3 comment="LaScHg2 (PBEsol, relaxed)" sg="No. 25" formation_energy_ev_per_atom=-0.452 mass_density_g_cm3=10.0 de_polymorph_mev_per_atom=89 pbc="T T T"
Sc 1.2562 2.5740 4.6958
Hg 2.9790 0.0000 5.0657
Hg 3.0065 2.5740 1.6856
La 1.2755 0.0000 2.3294

***

18.
4
Lattice="5.2040 0.0000 0.0000 2.6020 4.5019 0.0162 2.6020 1.4832 4.2506" Properties=species:S:1:pos:R:3 comment="LaScHg2 (PBEsol, relaxed)" sg="No. 225" formation_energy_ev_per_atom=-0.485 mass_density_g_cm3=9.8 de_polymorph_mev_per_atom=55 pbc="T T T"
Sc 2.6020 0.0000 0.0000
Hg 5.2040 4.4882 3.1996
Hg 5.2040 1.4970 1.0672
La 2.6020 2.9926 2.1334

***

19.
4
Lattice="5.1331 0.0000 0.0000 2.5665 4.4454 0.0000 2.5665 1.4818 4.1912" Properties=species:S:1:pos:R:3 comment="LaHgSe2 (PBEsol, relaxed)" formation_energy_uncorrected_kcal_per_mol_atoms=-18.99 sg="No. 216" mass_density_g_cm3=8.6 pbc="T T T"
Hg 5.1331 2.9636 2.0956
La 2.5665 1.4818 1.0478
Se 0.0000 0.0000 0.0000
Se 7.6996 4.4454 3.1434

***

20.
4
Lattice="-0.0213 0.6803 4.1834 -3.6763 0.1494 2.1041 -0.8384 -7.2148 3.3162" Properties=species:S:1:pos:R:3 comment="La2HgSe (PBEsol, relaxed)" formation_energy_uncorrected_kcal_per_mol_atoms=-27.60 sg="No. 166" mass_density_g_cm3=7.8 de_polymorph_mev_per_atom=0 pbc="T T T"
Hg -2.2680 -3.1926 4.8019
Se 0.0000 0.0000 0.0000
La -3.3934 -4.9518 7.2294
La -1.1426 -1.4333 2.3744